Record 1
{"formula": "LiHfTc3", "functional": "SCAN", "state": "PBEsol geometry", "cell": [[4.1692, 0.0000, 0.0000], [0.0000, 4.1692, 0.0000], [0.0000, 0.0000, 4.1692]], "species": ["Li", "Hf", "Tc", "Tc", "Tc"], "frac_coords": [[0.0000, 0.0000, 0.0000], [0.5000, 0.5000, 0.5000], [0.0000, 0.0000, 0.5000], [0.0000, 0.5000, 0.0000], [0.5000, 0.0000, 0.0000]], "e_tot_ev_per_atom": -33.23, "e_form_mev_per_atom": 821}


Record 2
{"formula": "Sc2InOs", "functional": "SCAN", "state": "PBEsol geometry", "cell": [[3.2498, 0.0000, 0.0000], [0.0000, 3.2498, 0.0000], [0.0000, 0.0000, 7.1128]], "species": ["Sc", "Sc", "In", "Os"], "frac_coords": [[0.0000, 0.0000, 0.2128], [0.0000, 0.0000, 0.7872], [0.5000, 0.5000, 0.5000], [0.5000, 0.5000, 0.0000]], "e_tot_ev_per_atom": -34.12, "e_form_mev_per_atom": -689}


Record 3
{"formula": "CaNb2PPb", "functional": "SCAN", "state": "PBEsol geometry", "cell": [[4.6695, 0.0000, 0.0000], [0.0000, 4.6695, 0.0000], [0.0000, 0.0000, 5.5498]], "species": ["Ca", "Nb", "Nb", "P", "Pb"], "frac_coords": [[0.0000, 0.0000, 0.0000], [0.0000, 0.5000, 0.5000], [0.5000, 0.0000, 0.5000], [0.5000, 0.5000, 0.5000], [0.5000, 0.5000, 0.0000]], "e_tot_ev_per_atom": -32.20, "e_form_mev_per_atom": 220}


Record 4
{"formula": "Ho2ZnPd", "functional": "SCAN", "state": "PBEsol geometry", "cell": [[0.0000, 3.4589, 3.4589], [3.4589, 0.0000, 3.4589], [3.4589, 3.4589, 0.0000]], "species": ["Ho", "Ho", "Zn", "Pd"], "frac_coords": [[0.2500, 0.2500, 0.2500], [0.7500, 0.7500, 0.7500], [0.0000, 0.0000, 0.0000], [0.5000, 0.5000, 0.5000]], "e_tot_ev_per_atom": -36.79, "e_form_mev_per_atom": -722}


Record 5
{"formula": "AlTe2Se", "functional": "SCAN", "state": "PBEsol geometry", "cell": [[5.1781, 0.0000, 0.0000], [0.0000, 5.1781, 0.0000], [0.0000, 0.0000, 3.4078]], "species": ["Al", "Te", "Te", "Se"], "frac_coords": [[0.0000, 0.0000, 0.0000], [0.0000, 0.5000, 0.5000], [0.5000, 0.0000, 0.5000], [0.5000, 0.5000, 0.0000]], "e_form_raw_ev_per_atom": 0.32, "e_tot_ev_per_atom": -25.26}


Record 6
{"formula": "Li3SnP2O8", "functional": "SCAN", "state": "PBEsol geometry", "cell": [[8.3481, 0.0000, 0.0000], [-4.1741, 7.2297, 0.0000], [0.0000, 0.0000, 7.6387]], "species": ["Li", "Li", "Li", "Li", "Li", "Li", "Li", "Li", "Li", "Sn", "Sn", "Sn", "P", "P", "P", "P", "P", "P", "O", "O", "O", "O", "O", "O", "O", "O", "O", "O", "O", "O", "O", "O", "O", "O", "O", "O", "O", "O", "O", "O", "O", "O"], "frac_coords": [[0.0000, 0.0000, 0.0000], [0.0037, 0.3260, 0.8749], [0.3222, 0.9963, 0.8749], [0.3333, 0.6667, 0.0230], [0.3572, 0.3502, 0.1482], [0.6498, 0.0070, 0.1482], [0.6667, 0.3333, 0.8875], [0.6740, 0.6778, 0.8749], [0.9930, 0.6428, 0.1482], [0.0000, 0.0000, 0.5668], [0.3333, 0.6667, 0.4690], [0.6667, 0.3333, 0.4676], [0.0090, 0.6511, 0.7611], [0.3006, 0.0074, 0.2628], [0.3489, 0.3578, 0.7611], [0.6422, 0.9910, 0.7611], [0.7068, 0.6994, 0.2628], [0.9926, 0.2932, 0.2628], [0.0597, 0.5754, 0.5988], [0.0901, 0.8678, 0.7425], [0.0963, 0.6178, 0.9258], [0.1322, 0.2223, 0.7425], [0.2041, 0.4322, 0.2688], [0.2280, 0.7959, 0.2688], [0.2346, 0.0583, 0.0951], [0.2360, 0.0749, 0.4250], [0.3822, 0.4785, 0.9258], [0.4246, 0.4843, 0.5988], [0.4382, 0.2385, 0.7839], [0.5141, 0.1121, 0.2627], [0.5157, 0.9403, 0.5988], [0.5215, 0.9037, 0.9258], [0.5678, 0.7720, 0.2688], [0.5979, 0.4859, 0.2627], [0.7615, 0.1997, 0.7839], [0.7777, 0.9099, 0.7425], [0.8003, 0.5618, 0.7839], [0.8237, 0.7654, 0.0951], [0.8388, 0.7640, 0.4250], [0.8879, 0.4021, 0.2627], [0.9251, 0.1612, 0.4250], [0.9417, 0.1763, 0.0951]], "e_form_raw_ev_per_atom": -2.38, "e_tot_ev_per_atom": -10.50}


Record 7
{"formula": "CePmZn2", "functional": "SCAN", "state": "PBEsol geometry", "cell": [[0.0000, 3.5725, 3.5725], [3.5725, 0.0000, 3.5725], [3.5725, 3.5725, 0.0000]], "species": ["Ce", "Pm", "Zn", "Zn"], "frac_coords": [[0.0000, 0.0000, 0.0000], [0.5000, 0.5000, 0.5000], [0.2500, 0.2500, 0.2500], [0.7500, 0.7500, 0.7500]], "e_tot_ev_per_atom": -29.19, "e_form_mev_per_atom": -297}


Record 8
{"formula": "KCoIr", "functional": "SCAN", "state": "PBEsol geometry", "cell": [[-1.3806, 1.3806, 6.9150], [1.3806, -1.3806, 6.9150], [1.3806, 1.3806, -6.9150]], "species": ["K", "Co", "Ir"], "frac_coords": [[0.0000, 0.0000, 0.0000], [0.6996, 0.6996, 0.0000], [0.3022, 0.3022, 0.0000]], "relative_energy_kj_per_mol_atoms": 0.0, "e_tot_ev_per_atom": -31.46, "e_form_mev_per_atom": 781}


Record 9
{"formula": "K2NaYCl6", "functional": "SCAN", "state": "PBEsol geometry", "cell": [[0.0000, 5.2569, 5.2569], [5.2569, 0.0000, 5.2569], [5.2569, 5.2569, 0.0000]], "species": ["K", "K", "Na", "Y", "Cl", "Cl", "Cl", "Cl", "Cl", "Cl"], "frac_coords": [[0.2500, 0.2500, 0.2500], [0.7500, 0.7500, 0.7500], [0.0000, 0.0000, 0.0000], [0.5000, 0.5000, 0.5000], [0.2537, 0.2537, 0.7463], [0.2537, 0.7463, 0.2537], [0.2537, 0.7463, 0.7463], [0.7463, 0.2537, 0.2537], [0.7463, 0.2537, 0.7463], [0.7463, 0.7463, 0.2537]], "e_form_raw_ev_per_atom": -2.31, "e_tot_ev_per_atom": -11.97}


Record 10
{"formula": "CaTcO2F", "functional": "SCAN", "state": "PBEsol geometry", "cell": [[3.8331, 0.0000, 0.0000], [0.0000, 3.8331, 0.0000], [0.0000, 0.0000, 4.3736]], "species": ["Ca", "Tc", "O", "O", "F"], "frac_coords": [[0.0000, 0.0000, 0.0000], [0.5000, 0.5000, 0.5000], [0.0000, 0.5000, 0.5000], [0.5000, 0.0000, 0.5000], [0.5000, 0.5000, 0.0000]], "e_form_raw_ev_per_atom": -2.02, "e_tot_ev_per_atom": -14.17}


Record 11
{"formula": "MgCdAu", "functional": "SCAN", "state": "PBEsol geometry", "cell": [[-1.7519, 1.7519, 4.4948], [1.7519, -1.7519, 4.4948], [1.7519, 1.7519, -4.4948]], "species": ["Mg", "Cd", "Au"], "frac_coords": [[0.0000, 0.0000, 0.0000], [0.6776, 0.6776, 0.0000], [0.3499, 0.3499, 0.0000]], "relative_energy_kj_per_mol_atoms": 0.0, "e_tot_ev_per_atom": -35.31, "e_form_mev_per_atom": -463}


Record 12
{"formula": "Sb2MoPt", "functional": "SCAN", "state": "PBEsol geometry", "cell": [[4.1311, 0.0000, 0.0000], [0.0000, 1.7709, 5.2272], [0.0000, -1.7709, 5.2272]], "species": ["Sb", "Sb", "Mo", "Pt"], "frac_coords": [[0.0000, 0.0000, 0.0000], [0.5000, 0.2942, 0.2942], [0.0000, 0.7190, 0.7190], [0.5000, 0.5489, 0.5489]], "relative_energy_kj_per_mol_atoms": 0.0, "e_form_raw_ev_per_atom": -0.07, "e_tot_ev_per_atom": -44.97}


Record 13
{"formula": "Be2FePdPb", "functional": "SCAN", "state": "PBEsol geometry", "cell": [[4.1420, 0.0000, 0.0000], [0.0000, 4.1420, 0.0000], [0.0000, 0.0000, 4.6540]], "species": ["Be", "Be", "Fe", "Pd", "Pb"], "frac_coords": [[0.0000, 0.5000, 0.0000], [0.5000, 0.0000, 0.0000], [0.0000, 0.0000, 0.0000], [0.0000, 0.0000, 0.5000], [0.5000, 0.5000, 0.5000]], "e_tot_ev_per_atom": -26.41, "e_form_mev_per_atom": 672}


Record 14
{"formula": "MgTeAs", "functional": "SCAN", "state": "PBEsol geometry", "cell": [[0.0000, 3.3952, 3.3952], [3.3952, 0.0000, 3.3952], [3.3952, 3.3952, 0.0000]], "species": ["Mg", "Te", "As"], "frac_coords": [[0.0000, 0.0000, 0.0000], [0.5000, 0.5000, 0.5000], [0.2500, 0.2500, 0.2500]], "e_form_raw_ev_per_atom": 0.09, "e_tot_ev_per_atom": -20.72}


Record 15
{"formula": "La2YCd", "functional": "SCAN", "state": "PBEsol geometry", "cell": [[-2.3950, 2.3950, 5.0514], [2.3950, -2.3950, 5.0514], [2.3950, 2.3950, -5.0514]], "species": ["La", "La", "Y", "Cd"], "frac_coords": [[0.2500, 0.7500, 0.5000], [0.7500, 0.2500, 0.5000], [0.0000, 0.0000, 0.0000], [0.5000, 0.5000, 0.0000]], "e_tot_ev_per_atom": -36.30, "e_form_mev_per_atom": -181}


Record 16
{"formula": "MnAs2RuBr", "functional": "SCAN", "state": "PBEsol geometry", "cell": [[4.6411, 0.0000, 0.0000], [0.0000, 4.6411, 0.0000], [0.0000, 0.0000, 5.2730]], "species": ["Mn", "As", "As", "Ru", "Br"], "frac_coords": [[0.0000, 0.0000, 0.0000], [0.0000, 0.5000, 0.5000], [0.5000, 0.0000, 0.5000], [0.5000, 0.5000, 0.5000], [0.5000, 0.5000, 0.0000]], "relative_energy_kj_per_mol_atoms": 0.0, "e_form_raw_ev_per_atom": 0.42, "e_tot_ev_per_atom": -22.16}


Record 17
{"formula": "Cd4CoSe", "functional": "SCAN", "state": "PBEsol geometry", "cell": [[0.0000, 3.9160, 3.9160], [3.9160, 0.0000, 3.9160], [3.9160, 3.9160, 0.0000]], "species": ["Cd", "Cd", "Cd", "Cd", "Co", "Se"], "frac_coords": [[0.1246, 0.1246, 0.1246], [0.1246, 0.1246, 0.6261], [0.1246, 0.6261, 0.1246], [0.6261, 0.1246, 0.1246], [0.7500, 0.7500, 0.7500], [0.5000, 0.5000, 0.5000]], "e_form_raw_ev_per_atom": 0.53, "e_tot_ev_per_atom": -25.98}


Record 18
{"formula": "CaO3F", "functional": "SCAN", "state": "PBEsol geometry", "cell": [[3.7412, 0.0000, 0.0000], [0.0000, 3.7412, 0.0000], [0.0000, 0.0000, 3.7412]], "species": ["Ca", "O", "O", "O", "F"], "frac_coords": [[0.0000, 0.0000, 0.0000], [0.0000, 0.5000, 0.5000], [0.5000, 0.0000, 0.5000], [0.5000, 0.5000, 0.0000], [0.5000, 0.5000, 0.5000]], "e_form_raw_ev_per_atom": -0.30, "e_tot_ev_per_atom": -6.68}


Record 19
{"formula": "CaSb2", "functional": "SCAN", "state": "PBEsol geometry", "cell": [[5.5380, -2.4925, 0.0000], [5.5380, 2.4925, 0.0000], [-2.1794, 0.0000, 5.9144]], "species": ["Ca", "Ca", "Sb", "Sb", "Sb", "Sb"], "frac_coords": [[0.0000, 0.0000, 0.0000], [0.7420, 0.7420, 0.3981], [0.0716, 0.0716, 0.5430], [0.3708, 0.3708, 0.1986], [0.3711, 0.3711, 0.6980], [0.6719, 0.6719, 0.8568]], "e_form_raw_ev_per_atom": -0.56, "e_tot_ev_per_atom": -28.62}


Record 20
{"formula": "YMgZr2", "functional": "SCAN", "state": "PBEsol geometry", "cell": [[3.2910, 0.0000, 0.0000], [0.0000, 4.2545, 0.0000], [0.0000, 0.0000, 6.8881]], "species": ["Y", "Mg", "Zr", "Zr"], "frac_coords": [[0.0000, 0.0000, 0.0000], [0.5000, 0.5000, 0.7253], [0.0000, 0.0000, 0.4793], [0.5000, 0.5000, 0.2687]], "e_tot_ev_per_atom": -23.49, "e_form_mev_per_atom": 59}